A plane-wave DFT calculation with PBE-GGA was carried out for a geometry-optimized Ba2GeBiW structure.

a b c (Å): 6.038 4.932 6.038
angles (deg): 90.00 90.00 90.00
Each line ends with the local moment (μB).
Positions (direct):
Ba (0.000, 0.000, 0.500)  0.02
Ge (0.000, 0.500, 0.000)  0.00
Ba (0.500, 0.000, 0.000)  0.02
Bi (0.500, 0.500, 0.500)  0.33
W (0.000, 0.000, 0.000)  0.33

## Properties
VASP energy ... -23.00 eV per cell
DFT formation energy ... 0.46 eV per atom
DOS(E_F) ... 7.72 states/eV/cell
Space-group type ... P4/mmm (123)
V ... 36.0 Å³ per atom
Spin magnetization ... 1.0 μB per formula unit